# Li2Ag2Pd3, optimized geometry, DFT PBE
# Energy above the most stable polymorph in this dataset = 38.7 meV/atom
# Crystal system = cubic
# Energy of formation = -3.28 kcal/mol of atoms
data_Li2Ag2Pd3
_chemical_formula_sum 'Li8 Ag8 Pd12'
_symmetry_space_group_name_H-M 'I 21 3'
_symmetry_Int_Tables_number 199
_symmetry_space_group_name_Hall 'I 2b 2c 3'
_cell_length_a 7.5996
_cell_length_b 7.5996
_cell_length_c 7.5996
_cell_angle_alpha 90.00
_cell_angle_beta 90.00
_cell_angle_gamma 90.00
loop_
_atom_site_label
_atom_site_fract_x
_atom_site_fract_y
_atom_site_fract_z
_atom_site_occupancy
Li1 0.2101 0.2101 0.2101 1
Ag1 0.0968 0.4032 0.5968 1
Pd1 0.0000 0.2500 0.9537 1